TmMg2ScHg4: optimized geometry, GGA-PBE.

Properties
Energy of formation from the pure elements: -3.30 eV per formula unit
Calculated total energy: -2.3127 eV per atom

Lattice parameters (Å, degrees): 8.635 8.635 8.635 33.48 33.48 33.48
Element x y z (fractional)
1 Tm 0.000 0.000 0.000
2 Mg 0.250 0.250 0.250
3 Mg 0.750 0.750 0.750
4 Sc 0.500 0.500 0.500
5 Hg 0.127 0.127 0.127
6 Hg 0.378 0.378 0.378
7 Hg 0.622 0.622 0.622
8 Hg 0.873 0.873 0.873